Compound: Dy4Ni12Sn25
Source: Alexandria
Functional: GGA-PBEsol
Structure: relaxed

Output
Calculated volume   19.87 A^3/atom
Raw total energy   -5.267 eV per atom

```
Dy4Ni12Sn25
1.0
-5.883 5.883 5.883
5.883 -5.883 5.883
5.883 5.883 -5.883
Dy Ni Sn
4 12 25
direct
0.000 0.000 0.500 Dy
0.000 0.500 0.000 Dy
0.500 0.000 0.000 Dy
0.500 0.500 0.500 Dy
0.159 0.838 0.321 Ni
0.162 0.321 0.482 Ni
0.162 0.679 0.841 Ni
0.321 0.159 0.838 Ni
0.321 0.482 0.162 Ni
0.482 0.162 0.321 Ni
0.518 0.838 0.679 Ni
0.679 0.518 0.838 Ni
0.679 0.841 0.162 Ni
0.838 0.321 0.159 Ni
0.838 0.679 0.518 Ni
0.841 0.162 0.679 Ni
0.000 0.000 0.000 Sn
0.002 0.630 0.372 Sn
0.120 0.247 0.873 Sn
0.127 0.375 0.247 Sn
0.127 0.880 0.753 Sn
0.247 0.127 0.375 Sn
0.247 0.873 0.120 Sn
0.258 0.630 0.628 Sn
0.370 0.372 0.742 Sn
0.370 0.628 0.998 Sn
0.372 0.002 0.630 Sn
0.372 0.742 0.370 Sn
0.375 0.247 0.127 Sn
0.625 0.753 0.873 Sn
0.628 0.258 0.630 Sn
0.628 0.998 0.370 Sn
0.630 0.372 0.002 Sn
0.630 0.628 0.258 Sn
0.742 0.370 0.372 Sn
0.753 0.127 0.880 Sn
0.753 0.873 0.625 Sn
0.873 0.120 0.247 Sn
0.873 0.625 0.753 Sn
0.880 0.753 0.127 Sn
0.998 0.370 0.628 Sn
```

Compound: DyNiSn2
Source: Alexandria
Functional: GGA-PBEsol
Structure: relaxed

Output
Calculated volume   20.89 A^3/atom
Raw total energy   -5.545 eV per atom

```
DyNiSn2
1.0
15.880 0.000 0.000
0.000 4.384 0.000
0.000 0.000 14.405
Dy Ni Sn
12 12 24
direct
0.126 0.250 0.229 Dy
0.146 0.750 0.606 Dy
0.150 0.250 0.972 Dy
0.350 0.750 0.472 Dy
0.354 0.250 0.106 Dy
0.374 0.750 0.729 Dy
0.626 0.250 0.271 Dy
0.646 0.750 0.894 Dy
0.650 0.250 0.528 Dy
0.850 0.750 0.028 Dy
0.854 0.250 0.394 Dy
0.874 0.750 0.771 Dy
0.051 0.750 0.105 Ni
0.197 0.250 0.748 Ni
0.201 0.250 0.456 Ni
0.299 0.750 0.956 Ni
0.303 0.750 0.248 Ni
0.449 0.250 0.605 Ni
0.551 0.750 0.395 Ni
0.697 0.250 0.752 Ni
0.701 0.250 0.044 Ni
0.799 0.750 0.544 Ni
0.803 0.750 0.252 Ni
0.949 0.250 0.895 Ni
0.021 0.750 0.921 Sn
0.033 0.250 0.739 Sn
0.044 0.250 0.450 Sn
0.174 0.750 0.372 Sn
0.186 0.750 0.825 Sn
0.213 0.750 0.105 Sn
0.287 0.250 0.605 Sn
0.314 0.250 0.325 Sn
0.326 0.250 0.872 Sn
0.456 0.750 0.950 Sn
0.467 0.750 0.239 Sn
0.479 0.250 0.421 Sn
0.521 0.750 0.579 Sn
0.533 0.250 0.761 Sn
0.544 0.250 0.050 Sn
0.674 0.750 0.128 Sn
0.686 0.750 0.675 Sn
0.713 0.750 0.395 Sn
0.787 0.250 0.895 Sn
0.814 0.250 0.175 Sn
0.826 0.250 0.628 Sn
0.956 0.750 0.550 Sn
0.967 0.750 0.261 Sn
0.979 0.250 0.079 Sn
```

Compound: DyP3O9
Source: Alexandria
Functional: GGA-PBEsol
Structure: relaxed

Output
Relative energy among the computed polymorphs   0.0092 eV/atom
Calculated volume   14.83 A^3/atom
Raw formation energy   -2.5432 eV per atom

```
DyP3O9
1.0
7.117 -3.378 0.000
7.117 3.378 0.000
-6.145 0.000 8.020
Dy P O
2 6 18
direct
0.234 0.766 0.500 Dy
0.766 0.234 0.000 Dy
0.177 0.337 0.772 P
0.337 0.177 0.272 P
0.561 0.741 0.334 P
0.741 0.561 0.834 P
0.743 0.952 0.163 P
0.952 0.743 0.663 P
0.081 0.817 0.656 O
0.130 0.143 0.632 O
0.130 0.501 0.697 O
0.143 0.130 0.132 O
0.280 0.412 0.396 O
0.383 0.749 0.357 O
0.412 0.280 0.896 O
0.499 0.999 0.375 O
0.501 0.130 0.197 O
0.590 0.615 0.673 O
0.615 0.590 0.173 O
0.662 0.796 0.979 O
0.749 0.383 0.857 O
0.796 0.662 0.479 O
0.817 0.081 0.156 O
0.817 0.909 0.783 O
0.909 0.817 0.283 O
0.999 0.499 0.875 O
```

Compound: DyP3O9
Source: Alexandria
Functional: GGA-PBEsol
Structure: relaxed

Output
Relative energy among the computed polymorphs   0.0000 eV/atom
Calculated volume   14.44 A^3/atom
Raw formation energy   -2.5525 eV per atom

```
DyP3O9
1.0
6.997 0.000 0.000
0.000 9.717 0.000
-0.348 0.000 11.040
Dy P O
4 12 36
direct
0.173 0.250 0.463 Dy
0.312 0.250 0.982 Dy
0.688 0.750 0.018 Dy
0.827 0.750 0.537 Dy
0.177 0.750 0.105 P
0.266 0.011 0.233 P
0.266 0.489 0.233 P
0.315 0.750 0.627 P
0.326 0.035 0.716 P
0.326 0.465 0.716 P
0.674 0.535 0.284 P
0.674 0.965 0.284 P
0.685 0.250 0.373 P
0.734 0.511 0.767 P
0.734 0.989 0.767 P
0.823 0.250 0.895 P
0.009 0.750 0.018 O
0.146 0.750 0.540 O
0.149 0.087 0.321 O
0.149 0.413 0.321 O
0.149 0.625 0.197 O
0.149 0.875 0.197 O
0.228 0.093 0.606 O
0.228 0.407 0.606 O
0.279 0.091 0.838 O
0.279 0.409 0.838 O
0.294 0.628 0.724 O
0.294 0.872 0.724 O
0.327 0.085 0.121 O
0.327 0.415 0.121 O
0.375 0.750 0.057 O
0.449 0.551 0.305 O
0.449 0.949 0.305 O
0.489 0.250 0.423 O
0.511 0.750 0.577 O
0.551 0.051 0.695 O
0.551 0.449 0.695 O
0.625 0.250 0.943 O
0.673 0.585 0.879 O
0.673 0.915 0.879 O
0.706 0.128 0.276 O
0.706 0.372 0.276 O
0.721 0.591 0.162 O
0.721 0.909 0.162 O
0.772 0.593 0.394 O
0.772 0.907 0.394 O
0.851 0.125 0.803 O
0.851 0.375 0.803 O
0.851 0.587 0.679 O
0.851 0.913 0.679 O
0.854 0.250 0.460 O
0.991 0.250 0.982 O
```

| no. | mass density (Mg/m³) |
| --- | --- |
| 1 | 8.8 |
| 2 | 9.1 |
| 3 | 3.4 |
| 4 | 3.5 |